Below is a geometry-optimized SnMo2Pt structure, with properties calculated at the PBE level.

```
SnMo2Pt
1.0
-3.139 3.139 5.141
3.139 -3.139 5.141
3.139 3.139 -5.141
Sn Mo Pt
2 4 2
Direct
0.000 0.000 0.000 Sn
0.750 0.250 0.500 Sn
0.159 0.625 0.034 Mo
0.375 0.409 0.534 Mo
0.591 0.125 0.966 Mo
0.875 0.841 0.466 Mo
0.250 0.750 0.500 Pt
0.500 0.500 0.000 Pt
```

Properties
crystal system: tetragonal
formation enthalpy at 0 K: 1226.3 meV/atom
total energy: -6.700 eV per atom